Arrangement w

# Zr4Ni5 | Alexandria | PBE-GGA | optimized geometry
data_Zr4Ni5
_chemical_formula_sum 'Zr4 Ni5'
_cell_length_a 6.266
_cell_length_b 6.266
_cell_length_c 6.266
_cell_angle_alpha 96.16
_cell_angle_beta 96.16
_cell_angle_gamma 141.77
_symmetry_space_group_name_H-M 'P 1'
_symmetry_Int_Tables_number 1
_symmetry_space_group_name_Hall 'P 1'
loop_
_atom_site_label
_atom_site_fract_x
_atom_site_fract_y
_atom_site_fract_z
_atom_site_occupancy
Zr1 0.695 0.000 0.695 1
Zr2 0.000 0.695 0.695 1
Zr3 0.305 0.000 0.305 1
Zr4 0.000 0.305 0.305 1
Ni1 0.343 0.657 0.000 1
Ni2 0.657 0.657 0.313 1
Ni3 0.657 0.343 0.000 1
Ni4 0.343 0.343 0.687 1
Ni5 0.000 0.000 0.000 1
# M_tot = 0.000 μB per atom
# Density of states at the Fermi level = 10.14 states/eV per cell
# SG = No. 139

Arrangement x

# Zr4Ni5 | Alexandria | PBE-GGA | optimized geometry
data_Zr4Ni5
_chemical_formula_sum 'Zr8 Ni10'
_cell_length_a 7.849
_cell_length_b 7.849
_cell_length_c 5.435
_cell_angle_alpha 90.00
_cell_angle_beta 90.00
_cell_angle_gamma 60.00
_symmetry_space_group_name_H-M 'P 1'
_symmetry_Int_Tables_number 1
_symmetry_space_group_name_Hall 'P 1'
loop_
_atom_site_label
_atom_site_fract_x
_atom_site_fract_y
_atom_site_fract_z
_atom_site_occupancy
Zr1 0.633 0.367 0.250 1
Zr2 0.000 0.000 0.500 1
Zr3 0.000 0.000 0.000 1
Zr4 0.367 0.633 0.750 1
Zr5 0.367 0.000 0.250 1
Zr6 0.000 0.633 0.250 1
Zr7 0.633 0.000 0.750 1
Zr8 0.000 0.367 0.750 1
Ni1 0.311 0.000 0.750 1
Ni2 0.689 0.000 0.250 1
Ni3 0.667 0.667 0.500 1
Ni4 0.333 0.333 0.500 1
Ni5 0.000 0.311 0.250 1
Ni6 0.311 0.689 0.250 1
Ni7 0.333 0.333 0.000 1
Ni8 0.689 0.311 0.750 1
Ni9 0.667 0.667 0.000 1
Ni10 0.000 0.689 0.750 1
# M_tot = 0.000 μB per atom
# Density of states at the Fermi level = 14.61 states/eV per cell
# SG = No. 193

Of them, arrangement w has the lowest stability.

Arrangement w

# Np2O5 | Alexandria | PBE-GGA | optimized geometry
data_Np2O5
_chemical_formula_sum 'Np4 O10'
_cell_length_a 5.016
_cell_length_b 5.401
_cell_length_c 6.871
_cell_angle_alpha 113.14
_cell_angle_beta 111.41
_cell_angle_gamma 90.00
_symmetry_space_group_name_H-M 'P 1'
_symmetry_Int_Tables_number 1
_symmetry_space_group_name_Hall 'P 1'
loop_
_atom_site_label
_atom_site_fract_x
_atom_site_fract_y
_atom_site_fract_z
_atom_site_occupancy
Np1 0.878 0.124 0.755 1
Np2 0.122 0.876 0.245 1
Np3 0.378 0.631 0.755 1
Np4 0.622 0.369 0.245 1
O1 0.478 0.728 0.455 1
O2 0.250 0.500 0.000 1
O3 0.750 0.500 0.000 1
O4 0.416 0.044 0.831 1
O5 0.584 0.956 0.169 1
O6 0.022 0.272 0.545 1
O7 0.978 0.728 0.455 1
O8 0.522 0.272 0.545 1
O9 0.916 0.787 0.831 1
O10 0.084 0.213 0.169 1
# M_tot = 0.571 μB per atom
# Density of states at the Fermi level = 25.34 states/eV per cell
# SG = No. 72

Arrangement x

# Np2O5 | Alexandria | PBE-GGA | optimized geometry
data_Np2O5
_chemical_formula_sum 'Np4 O10'
_cell_length_a 5.710
_cell_length_b 5.710
_cell_length_c 8.033
_cell_angle_alpha 69.52
_cell_angle_beta 69.52
_cell_angle_gamma 71.52
_symmetry_space_group_name_H-M 'P 1'
_symmetry_Int_Tables_number 1
_symmetry_space_group_name_Hall 'P 1'
loop_
_atom_site_label
_atom_site_fract_x
_atom_site_fract_y
_atom_site_fract_z
_atom_site_occupancy
O1 0.605 0.395 0.250 1
O2 0.740 0.801 0.361 1
O3 0.193 0.790 0.462 1
O4 0.801 0.740 0.861 1
O5 0.790 0.193 0.962 1
O6 0.210 0.807 0.038 1
O7 0.199 0.260 0.139 1
O8 0.807 0.210 0.538 1
O9 0.260 0.199 0.639 1
O10 0.395 0.605 0.750 1
Np1 0.500 0.500 0.000 1
Np2 0.037 0.963 0.750 1
Np3 0.500 0.500 0.500 1
Np4 0.963 0.037 0.250 1
# M_tot = 0.571 μB per atom
# Density of states at the Fermi level = 24.21 states/eV per cell
# SG = No. 15

Of them, arrangement w has the lowest stability.

Arrangement w

# NpO4 | Alexandria | PBE-GGA | optimized geometry
data_NpO4
_chemical_formula_sum 'Np2 O8'
_cell_length_a 6.092
_cell_length_b 5.933
_cell_length_c 5.864
_cell_angle_alpha 90.00
_cell_angle_beta 90.00
_cell_angle_gamma 122.16
_symmetry_space_group_name_H-M 'P 1'
_symmetry_Int_Tables_number 1
_symmetry_space_group_name_Hall 'P 1'
loop_
_atom_site_label
_atom_site_fract_x
_atom_site_fract_y
_atom_site_fract_z
_atom_site_occupancy
O1 0.503 0.199 0.087 1
O2 0.497 0.801 0.913 1
O3 0.465 0.239 0.642 1
O4 0.035 0.761 0.642 1
O5 0.535 0.761 0.358 1
O6 0.997 0.801 0.087 1
O7 0.965 0.239 0.358 1
O8 0.003 0.199 0.913 1
Np1 0.250 0.000 0.856 1
Np2 0.750 0.000 0.144 1
# M_tot = 0.189 μB per atom
# Density of states at the Fermi level = 7.57 states/eV per cell
# SG = No. 13

Arrangement x

# NpO4 | Alexandria | PBE-GGA | optimized geometry
data_NpO4
_chemical_formula_sum 'Np1 O4'
_cell_length_a 4.130
_cell_length_b 4.130
_cell_length_c 4.130
_cell_angle_alpha 90.00
_cell_angle_beta 90.00
_cell_angle_gamma 90.00
_symmetry_space_group_name_H-M 'P 1'
_symmetry_Int_Tables_number 1
_symmetry_space_group_name_Hall 'P 1'
loop_
_atom_site_label
_atom_site_fract_x
_atom_site_fract_y
_atom_site_fract_z
_atom_site_occupancy
O1 0.000 0.500 0.500 1
O2 0.000 0.000 0.000 1
O3 0.500 0.000 0.500 1
O4 0.500 0.500 0.000 1
Np1 0.500 0.500 0.500 1
# M_tot = 0.564 μB per atom
# Density of states at the Fermi level = 7.57 states/eV per cell
# SG = No. 221

Of them, arrangement x has the lowest stability.

Arrangement w

# Np2PO | Alexandria | PBE-GGA | optimized geometry
data_Np2PO
_chemical_formula_sum 'Np2 P1 O1'
_cell_length_a 3.692
_cell_length_b 3.692
_cell_length_c 6.385
_cell_angle_alpha 73.19
_cell_angle_beta 73.19
_cell_angle_gamma 60.00
_symmetry_space_group_name_H-M 'P 1'
_symmetry_Int_Tables_number 1
_symmetry_space_group_name_Hall 'P 1'
loop_
_atom_site_label
_atom_site_fract_x
_atom_site_fract_y
_atom_site_fract_z
_atom_site_occupancy
P1 0.000 0.000 0.000 1
Np1 0.762 0.762 0.714 1
Np2 0.238 0.238 0.286 1
O1 0.500 0.500 0.500 1
# M_tot = 1.874 μB per atom
# Density of states at the Fermi level = 9.15 states/eV per cell
# SG = No. 166

Arrangement x

# Np2PO | Alexandria | PBE-GGA | optimized geometry
data_Np2PO
_chemical_formula_sum 'Np2 P1 O1'
_cell_length_a 3.214
_cell_length_b 3.214
_cell_length_c 6.514
_cell_angle_alpha 90.00
_cell_angle_beta 90.00
_cell_angle_gamma 90.00
_symmetry_space_group_name_H-M 'P 1'
_symmetry_Int_Tables_number 1
_symmetry_space_group_name_Hall 'P 1'
loop_
_atom_site_label
_atom_site_fract_x
_atom_site_fract_y
_atom_site_fract_z
_atom_site_occupancy
O1 0.500 0.500 0.000 1
P1 0.500 0.500 0.500 1
Np1 0.000 0.000 0.235 1
Np2 0.000 0.000 0.765 1
# M_tot = 2.183 μB per atom
# Density of states at the Fermi level = 7.69 states/eV per cell
# SG = No. 123

Arrangement y

# Np2PO | Alexandria | PBE-GGA | optimized geometry
data_Np2PO
_chemical_formula_sum 'Np2 P1 O1'
_cell_length_a 3.622
_cell_length_b 3.622
_cell_length_c 6.806
_cell_angle_alpha 74.57
_cell_angle_beta 74.57
_cell_angle_gamma 60.00
_symmetry_space_group_name_H-M 'P 1'
_symmetry_Int_Tables_number 1
_symmetry_space_group_name_Hall 'P 1'
loop_
_atom_site_label
_atom_site_fract_x
_atom_site_fract_y
_atom_site_fract_z
_atom_site_occupancy
O1 0.493 0.493 0.522 1
Np1 0.092 0.092 0.723 1
Np2 0.245 0.245 0.265 1
P1 0.670 0.670 0.990 1
# M_tot = 2.020 μB per atom
# Density of states at the Fermi level = 8.01 states/eV per cell
# SG = No. 160

Of them, arrangement x has the lowest stability.

Arrangement w

# NpPO | Alexandria | PBE-GGA | optimized geometry
data_NpPO
_chemical_formula_sum 'Np4 P4 O4'
_cell_length_a 3.859
_cell_length_b 6.114
_cell_length_c 9.568
_cell_angle_alpha 90.00
_cell_angle_beta 90.00
_cell_angle_gamma 90.00
_symmetry_space_group_name_H-M 'P 1'
_symmetry_Int_Tables_number 1
_symmetry_space_group_name_Hall 'P 1'
loop_
_atom_site_label
_atom_site_fract_x
_atom_site_fract_y
_atom_site_fract_z
_atom_site_occupancy
Np1 0.250 0.289 0.912 1
Np2 0.250 0.211 0.412 1
Np3 0.750 0.711 0.088 1
Np4 0.750 0.789 0.588 1
P1 0.250 0.469 0.641 1
P2 0.250 0.031 0.141 1
P3 0.750 0.969 0.859 1
P4 0.750 0.531 0.359 1
O1 0.750 0.452 0.920 1
O2 0.750 0.048 0.420 1
O3 0.250 0.952 0.580 1
O4 0.250 0.548 0.080 1
# M_tot = 0.663 μB per atom
# Density of states at the Fermi level = 28.73 states/eV per cell
# SG = No. 62

Arrangement x

# NpPO | Alexandria | PBE-GGA | optimized geometry
data_NpPO
_chemical_formula_sum 'Np1 P1 O1'
_cell_length_a 4.198
_cell_length_b 4.198
_cell_length_c 4.198
_cell_angle_alpha 60.00
_cell_angle_beta 60.00
_cell_angle_gamma 60.00
_symmetry_space_group_name_H-M 'P 1'
_symmetry_Int_Tables_number 1
_symmetry_space_group_name_Hall 'P 1'
loop_
_atom_site_label
_atom_site_fract_x
_atom_site_fract_y
_atom_site_fract_z
_atom_site_occupancy
O1 0.500 0.500 0.500 1
P1 0.000 0.000 0.000 1
Np1 0.250 0.250 0.250 1
# M_tot = 0.667 μB per atom
# Density of states at the Fermi level = 8.01 states/eV per cell
# SG = No. 216

Of them, arrangement x has the lowest stability.